Computed, not measured: an optimized crystal structure of NaSrCr2O8 at the GGA+U level of DFT.

Summary:
The calculation puts the size of the total moment at 1.08 μB/cell. The total DFT energy (no corrections) comes out at -6.305 eV/atom.

Unit cell a=7.239 b=7.239 c=7.239 alpha=45.23 beta=45.23 gamma=45.23
Fractional positions:
1 Na 0.000 0.000 0.000
2 Sr 0.500 0.500 0.500
3 Cr 0.241 0.241 0.241
4 Cr 0.759 0.759 0.759
5 O 0.045 0.676 0.481
6 O 0.156 0.156 0.156
7 O 0.324 0.519 0.955
8 O 0.481 0.045 0.676
9 O 0.519 0.955 0.324
10 O 0.676 0.481 0.045
11 O 0.844 0.844 0.844
12 O 0.955 0.324 0.519